(1)
The following is a DFT calculation (PBE) of a relaxed Ag2HgF crystal.

Cell and atoms, written as POSCAR:
```
Ag2HgF
1.0
-1.766 -0.986 2.245
-0.219 -4.674 -2.226
3.882 0.677 3.352
Ag Hg F
2 1 1
direct
0.500 0.399 0.785
0.500 0.822 0.363
0.000 0.277 0.241
0.500 0.875 0.839
```

- space-group type = Amm2, No. 38
- size of the total moment (μB/f.u.) = 0.00
- relative energy among the computed polymorphs (meV per atom) = 75.7
- V (Å³ per cell) = 73
- E_form (uncorrected) (eV per atom) = -0.423
- final energy (eV/atom) = -2.3918

(2)
The following is a DFT calculation (PBE) of a relaxed Ag2HgF crystal.

Cell and atoms, written as POSCAR:
```
Ag2HgF
1.0
-0.474 -2.950 -1.161
-0.707 -2.411 1.990
-8.210 -0.197 -0.574
Ag Hg F
2 1 1
direct
0.072 0.072 0.785
0.262 0.262 0.215
0.500 0.500 0.501
0.667 0.667 0.999
```

- space-group type = R3m, No. 160
- size of the total moment (μB/f.u.) = 0.00
- relative energy among the computed polymorphs (meV per atom) = 0.0
- V (Å³ per cell) = 71
- E_form (uncorrected) (eV per atom) = -0.499
- final energy (eV/atom) = -2.4675

size of the total moment of number 1 (Ag2HgF)? 0.00 μB/f.u.